# 1
This record from Alexandria via LeMat-Bulk describes crystalline Ag2SbBr at its relaxed geometry. The functional is PBE.

a = 3.6180 Å, b = 3.6180 Å, c = 7.6262 Å
α = 90.00°, β = 90.00°, γ = 90.00°
Space group P4mm (No. 99)
Inequivalent atoms, fractional coordinates:
Ag1 0.0000 0.0000 0.0000 [1 per cell]
Ag2 0.5000 0.5000 0.1946 [1 per cell]
Sb1 0.5000 0.5000 0.8116 [1 per cell]
Br1 0.0000 0.0000 0.3909 [1 per cell]

DOS(E_F) = 0.283 states/eV per atom
Uncorrected formation energy = -49 meV per atom
Energy relative to the lowest polymorph listed for this composition = 0.004 eV per atom

# 2
This record from Alexandria via LeMat-Bulk describes crystalline AgSbBr2 at its relaxed geometry. The functional is PBE.

a = 7.6877 Å, b = 7.7190 Å, c = 3.4627 Å
α = 90.00°, β = 90.00°, γ = 90.00°
Space group Cmmm (No. 65)
Inequivalent atoms, fractional coordinates:
Ag1 0.0000 0.0000 0.0000 [2 per cell]
Sb1 0.0000 0.5000 0.0000 [2 per cell]
Br1 0.2500 0.2500 0.5000 [4 per cell]

DOS(E_F) = 0.800 states/eV per atom
Uncorrected formation energy = 160 meV per atom
Energy relative to the lowest polymorph listed for this composition = 0.391 eV per atom

# 3
This record from Alexandria via LeMat-Bulk describes crystalline AgSbBr2 at its relaxed geometry. The functional is PBE.

a = 3.6137 Å, b = 3.6137 Å, c = 29.6966 Å
α = 90.00°, β = 90.00°, γ = 120.00°
Space group R-3m (No. 166, hexagonal axes)
Inequivalent atoms, fractional coordinates:
Ag1 0.0000 0.0000 0.0000 [3 per cell]
Sb1 0.0000 0.0000 0.5000 [3 per cell]
Br1 0.0000 0.0000 0.0850 [6 per cell]

DOS(E_F) = 0.285 states/eV per atom
Uncorrected formation energy = 12 meV per atom
Energy relative to the lowest polymorph listed for this composition = 0.244 eV per atom

# 4
This record from Alexandria via LeMat-Bulk describes crystalline AgSbBr at its relaxed geometry. The functional is PBE.

a = 3.9517 Å, b = 5.8707 Å, c = 13.4973 Å
α = 90.00°, β = 90.00°, γ = 90.00°
Space group Fmm2 (No. 42)
Inequivalent atoms, fractional coordinates:
Ag1 0.0000 0.0000 0.0000 [4 per cell]
Sb1 0.0000 0.0000 0.3510 [4 per cell]
Br1 0.0000 0.0000 0.6358 [4 per cell]

DOS(E_F) = 0.427 states/eV per atom
Uncorrected formation energy = 49 meV per atom
Energy relative to the lowest polymorph listed for this composition = 0.198 eV per atom